(1)
DFT (GGA-PBE) results for AcTmCdHg after structural relaxation.

a = 3.807 Å, b = 3.807 Å, c = 8.001 Å
α = 90.00°, β = 90.00°, γ = 90.00°
Last column: magnetic moment on the atom in μB.
Atoms (fractional coordinates):
1 Cd 0.000 0.000 0.393  0.00
2 Tm 0.500 0.500 0.614  0.02
3 Hg 0.000 0.000 0.816  0.00
4 Ac 0.500 0.500 0.105  0.06

The value obtained for the energy of formation from the pure elements is -0.37 eV/atom. Its space-group type is P4mm, No. 99. The value obtained for the energy relative to the lowest polymorph listed for this composition is 0.0000 eV per atom.

(2)
DFT (GGA-PBE) results for Ac2TmCdHg6 after structural relaxation.

a = 7.744 Å, b = 7.744 Å, c = 7.744 Å
α = 60.00°, β = 60.00°, γ = 90.00°
Atoms (fractional coordinates):
1 Hg 0.247 0.247 0.506
2 Hg 0.247 0.247 0.000
3 Hg 0.247 0.753 0.000
4 Hg 0.753 0.247 0.000
5 Hg 0.753 0.753 0.000
6 Hg 0.753 0.753 0.494
7 Cd 0.000 0.000 0.000
8 Ac 0.250 0.750 0.500
9 Ac 0.750 0.250 0.500
10 Tm 0.500 0.500 0.000

The value obtained for the energy of formation from the pure elements is -0.06 eV/atom. Its space-group type is Fm-3m, No. 225.